## A
Crystalline CaCuI2 at its relaxed geometry, computed with PBE.

Geometry as POSCAR:
```
CaCuI2
1.0
2.111 1.219 9.109
-2.111 1.219 9.109
0.000 -2.437 9.109
Ca Cu I
1 1 2
Cartesian
0.000 0.000 0.000
0.000 0.000 13.663
0.000 0.000 3.026
0.000 0.000 24.300
```

crystal system	trigonal
volume	141	Å³/f.u.
total magnetic moment	0.0000	μB/atom
ρ	4.2	g/cm³



## B
Crystalline CaCuI2 at its relaxed geometry, computed with PBE.

Geometry as POSCAR:
```
CaCuI2
1.0
0.000 3.863 3.863
3.863 0.000 3.863
3.863 3.863 0.000
Ca Cu I
1 1 2
Cartesian
0.000 0.000 0.000
3.863 3.863 3.863
1.931 1.931 1.931
5.794 5.794 5.794
```

crystal system	cubic
volume	115	Å³/f.u.
total magnetic moment	0.0000	μB/atom
ρ	5.1	g/cm³



## C
Crystalline CaCuI2 at its relaxed geometry, computed with PBE.

Geometry as POSCAR:
```
CaCuI2
1.0
-3.424 3.424 6.312
3.424 -3.424 6.312
3.424 3.424 -6.312
Ca Cu I
2 2 4
Cartesian
0.000 0.000 0.000
0.000 3.424 3.156
3.424 0.000 3.156
0.000 0.000 6.312
1.712 -1.340 4.734
2.083 1.712 1.578
1.712 4.764 -1.578
1.340 1.712 7.890
```

crystal system	tetragonal
volume	148	Å³/f.u.
total magnetic moment	0.1989	μB/atom
ρ	4.0	g/cm³



Of the structures shown above, B is the most stable.